PBE KSbCl2, relaxed; crystal system = cubic; formation energy from raw total energies = -589 meV per atom; Fermi-level density of states = 4.74 states/eV per cell; uncorrected energy = -0.2070 Ry/atom; excess energy over the best structure of this formula in the dataset = 418 meV per atom; total moment = 2.00 Bohr magnetons per cell; symmetry = Fm-3m, No. 225
1.0
0.0000 3.8537 3.8537
3.8537 0.0000 3.8537
3.8537 3.8537 0.0000
K Sb Cl
1 1 2
Direct
0.0000 0.0000 0.0000
0.5000 0.5000 0.5000
0.2500 0.2500 0.2500
0.7500 0.7500 0.7500

---

PBE KSbCl2, relaxed; crystal system = orthorhombic; formation energy from raw total energies = -798 meV per atom; Fermi-level density of states = 1.26 states/eV per cell; uncorrected energy = -0.2225 Ry/atom; excess energy over the best structure of this formula in the dataset = 208 meV per atom; total moment = 0.00 Bohr magnetons per cell; symmetry = Cmmm, No. 65
1.0
2.2961 -2.5813 0.0000
2.2961 2.5813 0.0000
0.0000 0.0000 8.7351
K Sb Cl
1 1 2
Direct
0.0000 0.0000 0.0000
0.0000 0.0000 0.5000
0.5000 0.5000 0.2300
0.5000 0.5000 0.7700

---

PBE KSbCl, relaxed; crystal system = trigonal; formation energy from raw total energies = -452 meV per atom; Fermi-level density of states = 1.55 states/eV per cell; uncorrected energy = -0.2064 Ry/atom; excess energy over the best structure of this formula in the dataset = 118 meV per atom; total moment = 0.65 Bohr magnetons per cell; symmetry = P3m1, No. 156
1.0
3.7321 0.0000 0.0000
-1.8661 3.2321 0.0000
0.0000 0.0000 7.8025
K Sb Cl
1 1 1
Direct
0.0000 0.0000 0.0000
0.6667 0.3333 0.4143
0.3333 0.6667 0.7495

---

PBE K2SbCl, relaxed; crystal system = trigonal; formation energy from raw total energies = -951 meV per atom; Fermi-level density of states = 2.06 states/eV per cell; uncorrected energy = -0.2199 Ry/atom; excess energy over the best structure of this formula in the dataset = 93 meV per atom; total moment = 0.17 Bohr magnetons per cell; symmetry = R-3m, No. 166
1.0
2.0037 1.1568 9.7482
-2.0037 1.1568 9.7482
0.0000 -2.3136 9.7482
K Sb Cl
2 1 1
Direct
0.2361 0.2361 0.2361
0.7639 0.7639 0.7639
0.0000 0.0000 0.0000
0.5000 0.5000 0.5000

---

PBE KSbCl2, relaxed; crystal system = trigonal; formation energy from raw total energies = -790 meV per atom; Fermi-level density of states = 2.06 states/eV per cell; uncorrected energy = -0.2219 Ry/atom; excess energy over the best structure of this formula in the dataset = 216 meV per atom; total moment = 0.00 Bohr magnetons per cell; symmetry = R-3m, No. 166
1.0
1.8477 1.0667 9.1465
-1.8477 1.0667 9.1465
0.0000 -2.1335 9.1465
K Sb Cl
1 1 2
Direct
0.0000 0.0000 0.0000
0.5000 0.5000 0.5000
0.2549 0.2549 0.2549
0.7451 0.7451 0.7451

---

PBE K2Sb2Cl, relaxed; crystal system = tetragonal; formation energy from raw total energies = -866 meV per atom; Fermi-level density of states = 1.62 states/eV per cell; uncorrected energy = -0.2443 Ry/atom; excess energy over the best structure of this formula in the dataset = 0 meV per atom; total moment = 0.00 Bohr magnetons per cell; symmetry = I4/mmm, No. 139
1.0
-2.1249 2.1249 9.6425
2.1249 -2.1249 9.6425
2.1249 2.1249 -9.6425
K Sb Cl
2 2 1
Direct
0.0931 0.0931 0.0000
0.9069 0.9069 0.0000
0.2500 0.7500 0.5000
0.7500 0.2500 0.5000
0.5000 0.5000 0.0000

---

PBE K2SbCl, relaxed; crystal system = tetragonal; formation energy from raw total energies = -637 meV per atom; Fermi-level density of states = 1.90 states/eV per cell; uncorrected energy = -0.1968 Ry/atom; excess energy over the best structure of this formula in the dataset = 406 meV per atom; total moment = 1.95 Bohr magnetons per cell; symmetry = I-4m2, No. 119
1.0
-2.3946 2.3946 7.0225
2.3946 -2.3946 7.0225
2.3946 2.3946 -7.0225
K Sb Cl
2 1 1
Direct
0.0000 0.0000 0.0000
0.7500 0.2500 0.5000
0.2500 0.7500 0.5000
0.5000 0.5000 0.0000

---

PBE K3SbCl6, relaxed; crystal system = monoclinic; formation energy from raw total energies = -1556 meV per atom; Fermi-level density of states = 0.00 states/eV per cell; uncorrected energy = -0.2503 Ry/atom; excess energy over the best structure of this formula in the dataset = 0 meV per atom; total moment = 0.00 Bohr magnetons per cell; symmetry = P2_1/c, No. 14
1.0
7.5316 0.0000 0.0000
0.0000 8.0052 0.0000
-7.4117 0.0000 10.8530
K Sb Cl
6 2 12
Direct
0.0000 0.0000 0.0000
0.0000 0.5000 0.5000
0.2165 0.0744 0.7444
0.2165 0.4256 0.2444
0.7835 0.5744 0.7556
0.7835 0.9256 0.2556
0.5000 0.0000 0.5000
0.5000 0.5000 0.0000
0.1552 0.1791 0.4419
0.1552 0.3209 0.9419
0.2555 0.7221 0.4240
0.2555 0.7779 0.9240
0.4015 0.0569 0.2722
0.4015 0.4431 0.7722
0.5985 0.5569 0.2278
0.5985 0.9431 0.7278
0.7445 0.2221 0.0760
0.7445 0.2779 0.5760
0.8448 0.6791 0.0581
0.8448 0.8209 0.5581

---

PBE KSb2Cl, relaxed; crystal system = tetragonal; formation energy from raw total energies = -630 meV per atom; Fermi-level density of states = 2.02 states/eV per cell; uncorrected energy = -0.2519 Ry/atom; excess energy over the best structure of this formula in the dataset = 152 meV per atom; total moment = 0.00 Bohr magnetons per cell; symmetry = P4/mmm, No. 123
1.0
4.2373 0.0000 0.0000
0.0000 4.2373 0.0000
0.0000 0.0000 8.5431
K Sb Cl
1 2 1
Direct
0.0000 0.0000 0.0000
0.0000 0.5000 0.5000
0.5000 0.0000 0.5000
0.5000 0.5000 0.0000

---

PBE KSb2Cl, relaxed; crystal system = monoclinic; formation energy from raw total energies = -701 meV per atom; Fermi-level density of states = 1.23 states/eV per cell; uncorrected energy = -0.2571 Ry/atom; excess energy over the best structure of this formula in the dataset = 81 meV per atom; total moment = 0.00 Bohr magnetons per cell; symmetry = Pm, No. 6
1.0
3.4616 0.0000 0.0000
0.0000 4.2103 0.0000
-1.0258 0.0000 9.0456
K Sb Cl
1 2 1
Direct
0.0000 0.0000 0.0000
0.6105 0.5000 0.3466
0.6768 0.0000 0.5640
0.4583 0.5000 0.8638

---

PBE KSb2Cl, relaxed; crystal system = tetragonal; formation energy from raw total energies = 68 meV per atom; Fermi-level density of states = 4.30 states/eV per cell; uncorrected energy = -0.2006 Ry/atom; excess energy over the best structure of this formula in the dataset = 850 meV per atom; total moment = 0.01 Bohr magnetons per cell; symmetry = P4/mmm, No. 123
1.0
3.3234 0.0000 0.0000
0.0000 3.3234 0.0000
0.0000 0.0000 10.3149
K Sb Cl
1 2 1
Direct
0.0000 0.0000 0.0000
0.5000 0.5000 0.2808
0.5000 0.5000 0.7192
0.0000 0.0000 0.5000

---

PBE KSb2Cl, relaxed; crystal system = cubic; formation energy from raw total energies = 211 meV per atom; Fermi-level density of states = 2.11 states/eV per cell; uncorrected energy = -0.1901 Ry/atom; excess energy over the best structure of this formula in the dataset = 993 meV per atom; total moment = 0.00 Bohr magnetons per cell; symmetry = Fm-3m, No. 225
1.0
0.0000 3.9105 3.9105
3.9105 0.0000 3.9105
3.9105 3.9105 0.0000
K Sb Cl
1 2 1
Direct
0.0000 0.0000 0.0000
0.2500 0.2500 0.2500
0.7500 0.7500 0.7500
0.5000 0.5000 0.5000